Density functional theory data (PBE) for a relaxed AgSn3 crystal.

a = 4.650 Å, b = 4.650 Å, c = 4.650 Å
α = 90.00°, β = 90.00°, γ = 90.00°
Fractional positions:
Sn 0.000 0.500 0.500
Sn 0.500 0.000 0.500
Sn 0.500 0.500 0.000
Ag 0.000 0.000 0.000

Its space-group type is Pm-3m, No. 221. For the total magnetization, the calculation gives 0.000 μB per atom. As for the calculated total energy: -14.55 eV for the cell shown.